## Li4Np3NbN8 (GGA-PBE)

Data for a relaxed Li4Np3NbN8 crystal.

Summary:
**Uncorrected formation energy**: -0.897 eV per atom
**Density of states at the Fermi level**: 0.956 states/eV/atom
**Calculated total energy**: -8.594 eV per atom

Cell and atoms, written as POSCAR:
```
Li4Np3NbN8
1.0
6.6974 0.0000 0.0000
0.0000 6.3815 -0.2217
-3.3487 -3.3509 4.7332
Li Nb N Np
4 1 8 3
direct
0.5000 0.0000 0.5000
0.5000 0.0000 0.0000
0.0000 0.0000 0.0000
0.0000 0.0000 0.5000
0.0000 0.5000 0.0000
0.7445 0.7119 0.9782
0.2337 0.7119 0.9782
0.7374 0.7123 0.4749
0.7662 0.2881 0.5324
0.2555 0.2881 0.0218
0.7663 0.2881 0.0218
0.2626 0.2877 0.5251
0.2338 0.7119 0.4676
0.0000 0.5000 0.5000
0.5000 0.5000 0.0000
0.5000 0.5000 0.5000
```

## Li4NpNb3N8 (GGA-PBE)

Data for a relaxed Li4NpNb3N8 crystal.

Summary:
**Uncorrected formation energy**: -0.878 eV per atom
**Density of states at the Fermi level**: 0.300 states/eV/atom
**Calculated total energy**: -8.216 eV per atom

Cell and atoms, written as POSCAR:
```
Li4NpNb3N8
1.0
-4.9292 -1.9566 3.5129
0.8227 -5.8597 -2.1095
4.8074 3.1415 2.7358
Nb N Li Np
3 8 4 1
direct
0.0000 0.5000 0.5000
0.5000 0.5000 0.0000
0.5000 0.5000 0.5000
0.7587 0.2816 0.5173
0.7399 0.7199 0.4799
0.7357 0.7184 0.9770
0.2413 0.7184 0.4827
0.2601 0.2801 0.5201
0.2643 0.2816 0.0230
0.2413 0.7184 0.9770
0.7587 0.2816 0.0230
0.5000 0.0000 0.5000
0.0000 0.0000 0.0000
0.0000 0.0000 0.5000
0.5000 0.0000 0.0000
0.0000 0.5000 0.0000
```

## LiNpNb4N8 (GGA-PBE)

Data for a relaxed LiNpNb4N8 crystal.

Summary:
**Uncorrected formation energy**: -0.745 eV per atom
**Density of states at the Fermi level**: 0.504 states/eV/atom
**Calculated total energy**: -9.440 eV per atom

Cell and atoms, written as POSCAR:
```
LiNpNb4N8
1.0
-2.8443 1.1403 5.6634
-5.9613 -2.1700 1.1037
-1.0702 -4.5587 4.0411
N Nb Np Li
8 4 1 1
direct
0.2495 0.7241 0.3023
0.2490 0.2490 0.2531
0.2304 0.2304 0.7382
0.7241 0.7241 0.3023
0.7590 0.7590 0.7229
0.7241 0.2495 0.3023
0.8010 0.2304 0.7382
0.2304 0.8010 0.7382
0.0073 0.0073 0.5007
0.4847 0.0073 0.5007
0.6250 0.6250 0.1251
0.0073 0.4847 0.5007
0.4104 0.4104 0.7688
0.9978 0.9978 0.0067
```

## Li2Np3NbN6 (GGA-PBE)

Data for a relaxed Li2Np3NbN6 crystal.

Summary:
**Uncorrected formation energy**: -0.951 eV per atom
**Density of states at the Fermi level**: 1.232 states/eV/atom
**Calculated total energy**: -9.507 eV per atom

Cell and atoms, written as POSCAR:
```
Li2Np3NbN6
1.0
-4.9204 -0.6192 3.1040
3.0335 -4.7262 -1.6398
3.3596 1.9435 3.9504
N Li Np Nb
6 2 3 1
direct
0.0879 0.3879 0.2528
0.9121 0.6121 0.7472
0.2148 0.2148 0.7346
0.6121 0.9121 0.7472
0.7852 0.7852 0.2654
0.3879 0.0879 0.2528
0.3362 0.6638 0.0000
0.6638 0.3362 0.0000
0.8277 0.1723 0.5000
0.1723 0.8277 0.5000
0.5000 0.5000 0.5000
0.0000 0.0000 0.0000
```